CsCaN2: optimized geometry, GGA-PBEsol.

Properties
offset from the most stable computed form	0	meV/atom
final energy	-52.23	eV for the cell shown

Unit cell a=3.7367 b=3.7367 c=20.3548 alpha=90.00 beta=90.00 gamma=120.00
Sites, in units of the cell vectors:
Cs1 0.0000 0.0000 0.0000
Cs2 0.3333 0.6667 0.6667
Cs3 0.6667 0.3333 0.3333
Ca1 0.0000 0.0000 0.5000
Ca2 0.3333 0.6667 0.1667
Ca3 0.6667 0.3333 0.8333
N1 0.0000 0.0000 0.1077
N2 0.0000 0.0000 0.8923
N3 0.3333 0.6667 0.5590
N4 0.3333 0.6667 0.7744
N5 0.6667 0.3333 0.2256
N6 0.6667 0.3333 0.4410